IrOs2Ru, optimized geometry, DFT PBE; spin magnetization = 0.0000 μB per atom; ΔE to the lowest computed polymorph = 0.079 eV per atom; formation energy from the elements = 0.066 eV/atom; symmetry = P4/mmm
1.0
-2.274 3.082 -0.448
-0.489 -0.899 -3.707
-3.067 -2.129 0.921
Ru Ir Os
1 1 2
direct
0.500 0.500 0.500
0.500 0.000 0.000
0.000 0.000 0.500
0.000 0.500 0.000